A plane-wave DFT calculation with GGA-PBE was carried out for a relaxed structure of Rb3PmAg2I9.

Cell: 8.482 8.482 10.594 Å, 90.00 90.00 120.00°
Element x y z (fractional)
Rb1 0.000 0.000 0.000
Rb2 0.333 0.667 0.701
Rb3 0.667 0.333 0.299
Pm1 0.000 0.000 0.500
Ag1 0.333 0.667 0.152
Ag2 0.667 0.333 0.848
I1 0.000 0.500 0.000
I2 0.170 0.339 0.329
I3 0.170 0.830 0.329
I4 0.339 0.170 0.671
I5 0.500 0.000 0.000
I6 0.500 0.500 0.000
I7 0.661 0.830 0.329
I8 0.830 0.170 0.671
I9 0.830 0.661 0.671

Computed properties:
For the total moment, the calculation gives 0.0 μB/cell. The formation energy from raw total energies comes out at -0.9874 eV per atom. The space group is P-3m1. Its final energy is -0.103 hartree per atom.

***

A plane-wave DFT calculation with GGA-PBE was carried out for a relaxed structure of Al2CdSe.

Cell: 5.816 5.816 5.735 Å, 118.56 118.56 30.45°
Element x y z (fractional)
Al1 0.000 0.000 0.000
Al2 0.699 0.699 0.967
Cd1 0.250 0.250 0.567
Se1 0.417 0.417 0.278

Computed properties:
For the total moment, the calculation gives 0.0 μB/cell. The calculation puts the excess energy over the best structure of this formula in the dataset at 178 meV per atom. The formation energy from raw total energies comes out at 0.0467 eV per atom. The space group is Cm. Its final energy is -0.107 hartree per atom.

***

A plane-wave DFT calculation with GGA-PBE was carried out for a relaxed structure of FeAsWBr2.

Cell: 4.762 4.762 4.997 Å, 90.00 90.00 90.00°
Element x y z (fractional)
Fe1 0.000 0.000 0.000
As1 0.000 0.000 0.500
W1 0.500 0.500 0.500
Br1 0.000 0.500 0.000
Br2 0.500 0.000 0.000

Computed properties:
For the total moment, the calculation gives 6.2 μB/cell. The calculation puts the excess energy over the best structure of this formula in the dataset at 291 meV per atom. The formation energy from raw total energies comes out at 1.3088 eV per atom. The space group is P4/mmm. Its final energy is -0.168 hartree per atom.

***

A plane-wave DFT calculation with GGA-PBE was carried out for a relaxed structure of Ca3BeAl.

Cell: 5.453 5.453 5.453 Å, 90.00 90.00 90.00°
Element x y z (fractional)
Ca1 0.000 0.000 0.500
Ca2 0.000 0.500 0.000
Ca3 0.500 0.000 0.000
Be1 0.000 0.000 0.000
Al1 0.500 0.500 0.500

Computed properties:
The calculation puts the formation energy from the elements at 1.92 eV per formula unit. For the total moment, the calculation gives 0.0 μB/cell. The calculation puts the excess energy over the best structure of this formula in the dataset at 0 meV per atom. The space group is Pm-3m. Its final energy is -0.085 hartree per atom.

***

The highest total moment belongs to which entry? FeAsWBr2

***

Please write out number 3 again, unchanged.
A plane-wave DFT calculation with GGA-PBE was carried out for a relaxed structure of FeAsWBr2.

Cell: 4.762 4.762 4.997 Å, 90.00 90.00 90.00°
Element x y z (fractional)
Fe1 0.000 0.000 0.000
As1 0.000 0.000 0.500
W1 0.500 0.500 0.500
Br1 0.000 0.500 0.000
Br2 0.500 0.000 0.000

Computed properties:
For the total moment, the calculation gives 6.2 μB/cell. The calculation puts the excess energy over the best structure of this formula in the dataset at 291 meV per atom. The formation energy from raw total energies comes out at 1.3088 eV per atom. The space group is P4/mmm. Its final energy is -0.168 hartree per atom.

***

What is the formula in the fourth record? Ca3BeAl